Entry i
First-principles (PBE) data for YCoP4 after structural relaxation, as listed in Alexandria.

* magnetization: 0.0000 μB per atom

a b c (Å): 4.896 10.974 7.088
angles (deg): 90.00 90.00 90.00
Space group Cmmm (No. 65)
One atom of each set of equivalent atoms:
1 Y 0.000 0.000 0.000
2 Y 0.000 0.000 0.500
3 Co 0.000 0.320 0.000
4 P 0.000 0.354 0.500
5 P 0.000 0.500 0.182
6 P 0.250 0.250 0.253



Entry ii
First-principles (PBE) data for YCoP4 after structural relaxation, as listed in Alexandria.

* magnetization: 0.2044 μB per atom

a b c (Å): 7.258 7.258 7.258
angles (deg): 90.00 90.00 90.00
Space group F-43m (No. 216)
One atom of each set of equivalent atoms:
1 Y 0.000 0.000 0.000
2 Co 0.250 0.250 0.750
3 P 0.120 0.120 0.380



entry i takes first place; second place is 428 meV per atom up.



Entry i
First-principles (PBE) data for YCo5P3 after structural relaxation, as listed in Alexandria.

* magnetization: 0.0000 μB per atom

a b c (Å): 3.585 11.345 11.307
angles (deg): 90.00 90.00 90.00
Space group Cmcm (No. 63)
One atom of each set of equivalent atoms:
1 Y 0.000 0.157 0.250
2 Co 0.000 0.000 0.000
3 Co 0.000 0.199 0.571
4 Co 0.000 0.446 0.143
5 P 0.000 0.111 0.750
6 P 0.000 0.383 0.541



Entry ii
First-principles (PBE) data for YCo5P3 after structural relaxation, as listed in Alexandria.

* magnetization: 0.1401 μB per atom

a b c (Å): 11.735 3.646 10.288
angles (deg): 90.00 90.00 90.00
Space group Pnma (No. 62)
One atom of each set of equivalent atoms:
1 Y 0.203 0.250 0.083
2 Co 0.008 0.750 0.716
3 Co 0.012 0.750 0.093
4 Co 0.068 0.750 0.468
5 Co 0.176 0.250 0.779
6 Co 0.198 0.250 0.383
7 P 0.109 0.750 0.898
8 P 0.112 0.250 0.582
9 P 0.130 0.750 0.271



entry ii takes first place; second place is 63 meV per atom up.



Entry i
First-principles (PBE) data for ZnCo2P after structural relaxation, as listed in Alexandria.

* magnetization: 0.0000 μB per atom

a b c (Å): 2.711 3.491 10.375
angles (deg): 90.00 90.00 90.00
Space group Imm2 (No. 44)
One atom of each set of equivalent atoms:
1 Zn 0.000 0.000 0.000
2 Co 0.000 0.000 0.600
3 Co 0.000 0.500 0.820
4 P 0.000 0.500 0.261



Entry ii
First-principles (PBE) data for ZnCo2P after structural relaxation, as listed in Alexandria.

* magnetization: 0.5157 μB per atom

a b c (Å): 2.6841 2.6841 24.0610
angles (deg): 90.00 90.00 120.00
Space group R3m (No. 160, hexagonal axes)
One atom of each set of equivalent atoms:
1 Zn 0.0000 0.0000 0.0000
2 Co 0.0000 0.0000 0.5008
3 Co 0.0000 0.0000 0.7513
4 P 0.0000 0.0000 0.2333



entry i takes first place; second place is 232 meV per atom up.



Entry i
First-principles (PBE) data for ZnCo2P after structural relaxation, as listed in Alexandria.

* magnetization: 0.1375 μB per atom

a b c (Å): 8.602 2.750 4.032
angles (deg): 90.00 105.59 90.00
Space group Cm (No. 8)
One atom of each set of equivalent atoms:
1 Zn 0.000 0.000 0.000
2 Co 0.250 0.000 0.856
3 Co 0.472 0.000 0.480
4 P 0.254 0.500 0.399



Entry ii
First-principles (PBE) data for ZnCo2P after structural relaxation, as listed in Alexandria.

* magnetization: 0.3426 μB per atom

a b c (Å): 3.432 3.432 7.780
angles (deg): 90.00 90.00 90.00
Space group I-4m2 (No. 119)
One atom of each set of equivalent atoms:
1 Zn 0.000 0.000 0.000
2 Co 0.000 0.000 0.500
3 Co 0.000 0.500 0.750
4 P 0.000 0.500 0.250



entry i takes first place; second place is 105 meV per atom up.



Entry i
First-principles (PBE) data for ZnCo2P after structural relaxation, as listed in Alexandria.

* magnetization: 0.0000 μB per atom

a b c (Å): 6.332 6.332 5.107
angles (deg): 90.00 90.00 90.00
Space group I-42d (No. 122)
One atom of each set of equivalent atoms:
1 Zn 0.000 0.000 0.000
2 Co 0.191 0.750 0.625
3 P 0.000 0.000 0.500



Entry ii
First-principles (PBE) data for ZnCo2P after structural relaxation, as listed in Alexandria.

* magnetization: 0.5741 μB per atom

a b c (Å): 5.771 5.771 5.771
angles (deg): 90.00 90.00 90.00
Space group F-43m (No. 216)
One atom of each set of equivalent atoms:
1 Zn 0.000 0.000 0.000
2 Co 0.000 0.000 0.500
3 Co 0.250 0.250 0.750
4 P 0.250 0.250 0.250



entry i takes first place; second place is 200 meV per atom up.



Entry i
First-principles (PBE) data for ZnCo2P after structural relaxation, as listed in Alexandria.

* magnetization: 0.3394 μB per atom

a b c (Å): 2.727 3.419 5.112
angles (deg): 90.00 90.00 90.00
Space group Pmm2 (No. 25)
One atom of each set of equivalent atoms:
1 Zn 0.000 0.000 0.000
2 Co 0.000 0.000 0.503
3 Co 0.500 0.500 0.228
4 P 0.500 0.500 0.665



Entry ii
First-principles (PBE) data for ZnCo2P after structural relaxation, as listed in Alexandria.

* magnetization: 0.1762 μB per atom

a b c (Å): 7.059 2.718 5.083
angles (deg): 90.00 100.83 90.00
Space group C2/m (No. 12)
One atom of each set of equivalent atoms:
1 Zn 0.000 0.000 0.000
2 Co 0.240 0.000 0.707
3 P 0.000 0.500 0.500



Entry iii
First-principles (PBE) data for ZnCo2P after structural relaxation, as listed in Alexandria.

* magnetization: 0.0000 μB per atom

a b c (Å): 2.682 2.682 6.313
angles (deg): 90.00 90.00 90.00
Space group P4/mmm (No. 123)
One atom of each set of equivalent atoms:
1 Zn 0.000 0.000 0.000
2 Co 0.500 0.500 0.297
3 P 0.000 0.000 0.500



Entry iv
First-principles (PBE) data for ZnCo2P after structural relaxation, as listed in Alexandria.

* magnetization: 0.3067 μB per atom

a b c (Å): 5.634 5.634 5.634
angles (deg): 90.00 90.00 90.00
Space group Fm-3m (No. 225)
One atom of each set of equivalent atoms:
1 Zn 0.000 0.000 0.000
2 Co 0.250 0.250 0.250
3 P 0.000 0.000 0.500



entry iii takes first place; second place is 124 meV per atom up.



Entry i
First-principles (PBE) data for ZnCo2P after structural relaxation, as listed in Alexandria.

* magnetization: 0.0000 μB per atom

a b c (Å): 3.421 4.100 6.600
angles (deg): 90.00 90.00 90.00
Space group Immm (No. 71)
One atom of each set of equivalent atoms:
1 Zn 0.000 0.000 0.000
2 Co 0.000 0.500 0.207
3 P 0.000 0.000 0.500



Entry ii
First-principles (PBE) data for ZnCo2P after structural relaxation, as listed in Alexandria.

* magnetization: 0.2831 μB per atom

a b c (Å): 3.955 3.955 2.868
angles (deg): 90.00 90.00 90.00
Space group P4/mmm (No. 123)
One atom of each set of equivalent atoms:
1 Zn 0.000 0.000 0.000
2 Co 0.000 0.500 0.500
3 P 0.500 0.500 0.000



Entry iii
First-principles (PBE) data for ZnCo2P after structural relaxation, as listed in Alexandria.

* magnetization: 0.5257 μB per atom

a b c (Å): 2.670 2.670 7.262
angles (deg): 90.00 90.00 90.00
Space group P4mm (No. 99)
One atom of each set of equivalent atoms:
1 Zn 0.000 0.000 0.000
2 Co 0.000 0.000 0.464
3 Co 0.500 0.500 0.232
4 P 0.500 0.500 0.641



Entry iv
First-principles (PBE) data for ZnCo2P after structural relaxation, as listed in Alexandria.

* magnetization: 0.0000 μB per atom

a b c (Å): 3.5089 3.5089 14.3998
angles (deg): 90.00 90.00 120.00
Space group R3m (No. 160, hexagonal axes)
One atom of each set of equivalent atoms:
1 Zn 0.0000 0.0000 0.0000
2 Co 0.0000 0.0000 0.5628
3 Co 0.0000 0.0000 0.7781
4 P 0.0000 0.0000 0.1744



entry iv takes first place; second place is 25 meV per atom up.



Entry i
First-principles (PBE) data for ZnCo2P after structural relaxation, as listed in Alexandria.

* magnetization: 0.2542 μB per atom

a b c (Å): 4.056 2.745 8.646
angles (deg): 90.00 90.00 90.00
Space group Amm2 (No. 38)
One atom of each set of equivalent atoms:
1 Zn 0.000 0.000 0.000
2 Co 0.000 0.000 0.264
3 Co 0.500 0.000 0.633
4 P 0.500 0.000 0.347



Entry ii
First-principles (PBE) data for ZnCo2P after structural relaxation, as listed in Alexandria.

* magnetization: 0.1752 μB per atom

a b c (Å): 2.7040 2.7040 22.1604
angles (deg): 90.00 90.00 120.00
Space group R-3m (No. 166, hexagonal axes)
One atom of each set of equivalent atoms:
1 Zn 0.0000 0.0000 0.0000
2 Co 0.0000 0.0000 0.2394
3 P 0.0000 0.0000 0.5000



entry ii takes first place; second place is 94 meV per atom up.



Entry i
First-principles (PBE) data for ZrCo3P after structural relaxation, as listed in Alexandria.

* magnetization: 0.4452 μB per atom

a b c (Å): 4.537 4.537 4.537
angles (deg): 90.00 90.00 90.00
Space group Pm-3m (No. 221)
One atom of each set of equivalent atoms:
1 Zr 0.000 0.000 0.000
2 Co 0.000 0.000 0.500
3 P 0.500 0.500 0.500



Entry ii
First-principles (PBE) data for ZrCo3P after structural relaxation, as listed in Alexandria.

* magnetization: 0.4050 μB per atom

a b c (Å): 4.144 4.144 4.144
angles (deg): 90.00 90.00 90.00
Space group Pm-3m (No. 221)
One atom of each set of equivalent atoms:
1 Zr 0.000 0.000 0.000
2 Co 0.000 0.500 0.500
3 P 0.500 0.500 0.500



entry ii takes first place; second place is 1831 meV per atom up.



Entry i
First-principles (PBE) data for Pa3Co2 after structural relaxation, as listed in Alexandria.

* magnetization: 0.0000 μB per atom

a b c (Å): 11.778 5.846 6.669
angles (deg): 90.00 115.83 90.00
Space group C2/c (No. 15)
One atom of each set of equivalent atoms:
1 Pa 0.000 0.104 0.250
2 Pa 0.203 0.405 0.819
3 Co 0.047 0.312 0.976



Entry ii
First-principles (PBE) data for Pa3Co2 after structural relaxation, as listed in Alexandria.

* magnetization: 0.0000 μB per atom

a b c (Å): 10.814 21.560 3.460
angles (deg): 90.00 90.00 90.00
Space group Fdd2 (No. 43)
One atom of each set of equivalent atoms:
1 Pa 0.000 0.000 0.000
2 Pa 0.040 0.350 0.786
3 Co 0.072 0.221 0.762



entry i takes first place; second place is 77 meV per atom up.



Entry i
First-principles (PBE) data for Pa4Co after structural relaxation, as listed in Alexandria.

* magnetization: 0.0000 μB per atom

a b c (Å): 6.775 11.634 6.730
angles (deg): 90.00 120.02 90.00
Space group Cc (No. 9)
One atom of each set of equivalent atoms:
1 Pa 0.000 0.006 0.000
2 Pa 0.042 0.466 0.081
3 Pa 0.279 0.284 0.556
4 Pa 0.317 0.255 0.138
5 Co 0.285 0.125 0.819



Entry ii
First-principles (PBE) data for Pa4Co after structural relaxation, as listed in Alexandria.

* magnetization: 0.0001 μB per atom

a b c (Å): 5.026 5.026 5.026
angles (deg): 90.00 90.00 90.00
Space group Pm-3m (No. 221)
One atom of each set of equivalent atoms:
1 Pa 0.000 0.000 0.000
2 Pa 0.000 0.500 0.500
3 Co 0.500 0.500 0.500



entry i takes first place; second place is 339 meV per atom up.